ScInNi2S: optimized geometry, PBE.

a = 4.1731 Å, b = 4.1731 Å, c = 5.4638 Å
α = 90.00°, β = 90.00°, γ = 90.00°
Closest atoms and distances in Å follow each position.
Sites, in units of the cell vectors:
Sc (0.0000, 0.0000, 0.0000)  4 In 2.95
In (0.5000, 0.5000, 0.0000)  2 S 2.73, 4 Sc 2.95
Ni (0.0000, 0.5000, 0.5000)  2 S 2.09
Ni (0.5000, 0.0000, 0.5000)  2 S 2.09
S (0.5000, 0.5000, 0.5000)  4 Ni 2.09

Properties
Fermi-level density of states, states/eV per cell: 3.58
E_tot, eV per atom: -4.925

=====

SrInNi2S: optimized geometry, PBE.

a = 4.6394 Å, b = 4.6394 Å, c = 6.6479 Å
α = 90.00°, β = 90.00°, γ = 90.00°
Closest atoms and distances in Å follow each position.
Sites, in units of the cell vectors:
Sr (0.0000, 0.0000, 0.0000)  4 S 3.28, 2 In 3.32
In (0.0000, 0.0000, 0.5000)  4 Ni 2.32
Ni (0.0000, 0.5000, 0.5000)  2 In 2.32
Ni (0.5000, 0.0000, 0.5000)  2 In 2.32
S (0.5000, 0.5000, 0.0000)  4 Sr 3.28

Properties
Fermi-level density of states, states/eV per cell: 5.79
E_tot, eV per atom: -3.540

=====

TaInNi2S: optimized geometry, PBE.

a = 4.7616 Å, b = 4.7616 Å, c = 4.6450 Å
α = 90.00°, β = 90.00°, γ = 90.00°
Closest atoms and distances in Å follow each position.
Sites, in units of the cell vectors:
Ta (0.0000, 0.0000, 0.0000)  2 S 2.32, 4 Ni 2.38
In (0.5000, 0.5000, 0.5000)  8 Ni 3.33, 4 S 3.37
Ni (0.0000, 0.5000, 0.0000)  2 Ta 2.38
Ni (0.5000, 0.0000, 0.0000)  2 Ta 2.38
S (0.0000, 0.0000, 0.5000)  2 Ta 2.32

Properties
Fermi-level density of states, states/eV per cell: 5.00
E_tot, eV per atom: -5.500

=====

In2NiWS: optimized geometry, PBE.

a = 5.2669 Å, b = 5.2669 Å, c = 3.9440 Å
α = 90.00°, β = 90.00°, γ = 90.00°
Closest atoms and distances in Å follow each position.
Sites, in units of the cell vectors:
In (0.0000, 0.5000, 0.0000)  2 S 2.63
In (0.5000, 0.0000, 0.0000)  2 S 2.63
Ni (0.0000, 0.0000, 0.5000)  2 S 1.97
W (0.5000, 0.5000, 0.5000)  8 In 3.29
S (0.0000, 0.0000, 0.0000)  2 Ni 1.97

Properties
Fermi-level density of states, states/eV per cell: 4.02
E_tot, eV per atom: -4.627

=====

InNi2Sb2: optimized geometry, PBE.

a = 6.5005 Å, b = 6.5005 Å, c = 6.5005 Å
α = 140.95°, β = 140.95°, γ = 56.41°
Closest atoms and distances in Å follow each position.
Sites, in units of the cell vectors:
In (0.0000, 0.0000, 0.0000)  8 Sb 3.45, 8 Ni 3.59
Ni (0.2500, 0.7500, 0.5000)  4 Sb 2.53
Ni (0.7500, 0.2500, 0.5000)  4 Sb 2.53
Sb (0.3626, 0.3626, 0.0000)  4 Ni 2.53
Sb (0.6374, 0.6374, 0.0000)  4 Ni 2.53

Properties
Fermi-level density of states, states/eV per cell: 2.70
E_tot, eV per atom: -4.502

=====

InNi2Sb: optimized geometry, PBE.

a = 5.2832 Å, b = 5.2832 Å, c = 5.2832 Å
α = 137.42°, β = 137.42°, γ = 61.80°
Closest atoms and distances in Å follow each position.
Sites, in units of the cell vectors:
In (0.0000, 0.0000, 0.0000)  8 Ni 2.71-2.97, 4 Sb 2.97
Ni (0.2500, 0.7500, 0.5000)  4 Sb 2.71, 4 Ni 2.97, 4 In 2.97
Ni (0.5000, 0.5000, 0.0000)  4 In 2.71, 4 Sb 2.97, 4 Ni 2.97
Sb (0.7500, 0.2500, 0.5000)  8 Ni 2.71-2.97, 4 In 2.97

Properties
Fermi-level density of states, states/eV per cell: 3.37
E_tot, eV per atom: -4.505

=====

InNiSb: optimized geometry, PBE.

a = 3.5045 Å, b = 3.5045 Å, c = 5.9695 Å
α = 90.00°, β = 90.00°, γ = 120.00°
Closest atoms and distances in Å follow each position.
Sites, in units of the cell vectors:
In (0.0000, 0.0000, 0.0000)  3 Ni 2.69
Ni (0.6667, 0.3333, 0.2961)  3 Sb 2.55, 3 In 2.69
Sb (0.3333, 0.6667, 0.5548)  3 Ni 2.55

Properties
Fermi-level density of states, states/eV per cell: 1.25
E_tot, eV per atom: -4.238

=====

InNiSb2: optimized geometry, PBE.

a = 4.0724 Å, b = 5.7332 Å, c = 5.7332 Å
α = 48.54°, β = 90.00°, γ = 90.00°
Closest atoms and distances in Å follow each position.
Sites, in units of the cell vectors:
In (0.0000, 0.0000, 0.0000)  2 Ni 2.76, 2 Sb 2.99
Ni (0.5000, 0.1782, 0.1782)  4 Sb 2.46-2.54
Sb (0.0000, 0.3238, 0.3238)  2 Ni 2.54
Sb (0.5000, 0.6121, 0.6121)  2 Ni 2.46

Properties
Fermi-level density of states, states/eV per cell: 2.24
E_tot, eV per atom: -4.185

=====

InNi2Sb: optimized geometry, PBE.

a = 4.5214 Å, b = 4.5214 Å, c = 3.2267 Å
α = 90.00°, β = 90.00°, γ = 90.09°
Closest atoms and distances in Å follow each position.
Sites, in units of the cell vectors:
In (0.0000, 0.0000, 0.0000)  8 Ni 2.78
Ni (0.0000, 0.5000, 0.5000)  4 In 2.78, 4 Sb 2.78
Ni (0.5000, 0.0000, 0.5000)  4 In 2.78, 4 Sb 2.78
Sb (0.5000, 0.5000, 0.0000)  8 Ni 2.78

Properties
Fermi-level density of states, states/eV per cell: 2.31
E_tot, eV per atom: -4.565

=====

InNi2Sb2: optimized geometry, PBE.

a = 5.9625 Å, b = 5.9625 Å, c = 5.9625 Å
α = 134.62°, β = 134.62°, γ = 66.12°
Closest atoms and distances in Å follow each position.
Sites, in units of the cell vectors:
In (0.0000, 0.0000, 0.0000)  8 Sb 3.40, 10 Ni 3.48-3.75
Ni (0.3750, 0.3750, 0.0000)  1 Ni 2.50, 4 Sb 2.62
Ni (0.6250, 0.6250, 0.0000)  1 Ni 2.50, 4 Sb 2.62
Sb (0.2500, 0.7500, 0.5000)  4 Ni 2.62
Sb (0.7500, 0.2500, 0.5000)  4 Ni 2.62

Properties
Fermi-level density of states, states/eV per cell: 3.34
E_tot, eV per atom: -4.362

=====

InNi6Sb: optimized geometry, PBE.

a = 3.7316 Å, b = 3.7316 Å, c = 7.4768 Å
α = 90.00°, β = 90.00°, γ = 90.00°
Closest atoms and distances in Å follow each position.
Sites, in units of the cell vectors:
In (0.0000, 0.0000, 0.0000)  12 Ni 2.64-2.66
Ni (0.0000, 0.5000, 0.2543)  2 Sb 2.62, 8 Ni 2.62-2.66, 2 In 2.66
Ni (0.0000, 0.5000, 0.7457)  2 Sb 2.62, 8 Ni 2.62-2.66, 2 In 2.66
Ni (0.5000, 0.0000, 0.2543)  2 Sb 2.62, 8 Ni 2.62-2.66, 2 In 2.66
Ni (0.5000, 0.0000, 0.7457)  2 Sb 2.62, 8 Ni 2.62-2.66, 2 In 2.66
Ni (0.5000, 0.5000, 0.0000)  4 In 2.64, 8 Ni 2.66
Ni (0.5000, 0.5000, 0.5000)  8 Ni 2.62, 4 Sb 2.64
Sb (0.0000, 0.0000, 0.5000)  12 Ni 2.62-2.64

Properties
Fermi-level density of states, states/eV per cell: 6.62
E_tot, eV per atom: -5.316

=====

InNiSb2: optimized geometry, PBE.

a = 3.9878 Å, b = 3.9878 Å, c = 7.3277 Å
α = 106.28°, β = 106.28°, γ = 60.37°
Closest atoms and distances in Å follow each position.
Sites, in units of the cell vectors:
In (0.0000, 0.0000, 0.0000)  6 Sb 3.22-3.24
Ni (0.5000, 0.5000, 0.5000)  6 Sb 2.60-2.61
Sb (0.2250, 0.2250, 0.6741)  3 Ni 2.60-2.61
Sb (0.7750, 0.7750, 0.3259)  3 Ni 2.60-2.61

Properties
Fermi-level density of states, states/eV per cell: 2.42
E_tot, eV per atom: -4.263

=====

InNiSb3: optimized geometry, PBE.

a = 5.0697 Å, b = 5.0697 Å, c = 5.0697 Å
α = 90.00°, β = 90.00°, γ = 90.00°
Closest atoms and distances in Å follow each position.
Sites, in units of the cell vectors:
In (0.0000, 0.0000, 0.0000)  12 Sb 3.58
Ni (0.5000, 0.5000, 0.5000)  6 Sb 2.53
Sb (0.0000, 0.5000, 0.5000)  2 Ni 2.53
Sb (0.5000, 0.0000, 0.5000)  2 Ni 2.53
Sb (0.5000, 0.5000, 0.0000)  2 Ni 2.53

Properties
Fermi-level density of states, states/eV per cell: 3.91
E_tot, eV per atom: -3.918

=====

InNiSb2: optimized geometry, PBE.

a = 7.8814 Å, b = 7.8814 Å, c = 7.8814 Å
α = 136.14°, β = 136.14°, γ = 63.76°
Closest atoms and distances in Å follow each position.
Sites, in units of the cell vectors:
In (0.0000, 0.0000, 0.0000)  4 Sb 2.92
In (0.7500, 0.2500, 0.5000)  4 Sb 2.92
Ni (0.2500, 0.7500, 0.5000)  4 Sb 2.46
Ni (0.5000, 0.5000, 0.0000)  4 Sb 2.46
Sb (0.1968, 0.6250, 0.0718)  2 Ni 2.46
Sb (0.3750, 0.4468, 0.5718)  2 Ni 2.46
Sb (0.5532, 0.1250, 0.9282)  2 Ni 2.46
Sb (0.8750, 0.8032, 0.4282)  2 Ni 2.46

Properties
Fermi-level density of states, states/eV per cell: 4.65
E_tot, eV per atom: -4.128

=====

InNi4Sb: optimized geometry, PBE.

a = 4.9525 Å, b = 4.9525 Å, c = 4.9525 Å
α = 60.00°, β = 60.00°, γ = 60.00°
Closest atoms and distances in Å follow each position.
Sites, in units of the cell vectors:
In (0.0000, 0.0000, 0.0000)  12 Ni 2.90, 4 Sb 3.03
Ni (0.1246, 0.6251, 0.6251)  6 Ni 2.47-2.48
Ni (0.6251, 0.1246, 0.6251)  6 Ni 2.47-2.48
Ni (0.6251, 0.6251, 0.1246)  6 Ni 2.47-2.48
Ni (0.6251, 0.6251, 0.6251)  6 Ni 2.47-2.48
Sb (0.2500, 0.2500, 0.2500)  12 Ni 2.90, 4 In 3.03

Properties
Fermi-level density of states, states/eV per cell: 2.79
E_tot, eV per atom: -4.977

=====

InNiSb2: optimized geometry, PBE.

a = 6.8381 Å, b = 6.8381 Å, c = 6.8381 Å
α = 152.21°, β = 141.53°, γ = 48.11°
Closest atoms and distances in Å follow each position.
Sites, in units of the cell vectors:
In (0.0000, 0.0000, 0.0000)  4 Ni 2.79, 4 Sb 3.09
Ni (0.5000, 0.5000, 0.0000)  4 Sb 2.67, 4 In 2.79
Sb (0.3312, 0.8312, 0.5000)  2 Ni 2.67
Sb (0.6688, 0.1688, 0.5000)  2 Ni 2.67

Properties
Fermi-level density of states, states/eV per cell: 1.74
E_tot, eV per atom: -4.189

=====

InNi2Sb: optimized geometry, PBE.

a = 4.2600 Å, b = 4.2600 Å, c = 5.4723 Å
α = 101.63°, β = 101.63°, γ = 46.15°
Closest atoms and distances in Å follow each position.
Sites, in units of the cell vectors:
In (0.0000, 0.0000, 0.0000)  6 Ni 2.69-2.78
Ni (0.2449, 0.2449, 0.7237)  3 Sb 2.56-2.63, 3 In 2.69-2.78
Ni (0.7551, 0.7551, 0.2763)  3 Sb 2.56-2.63, 3 In 2.69-2.78
Sb (0.5000, 0.5000, 0.5000)  6 Ni 2.56-2.63

Properties
Fermi-level density of states, states/eV per cell: 3.06
E_tot, eV per atom: -4.523

=====

InNi2Sb: optimized geometry, PBE.

a = 6.2037 Å, b = 6.2037 Å, c = 6.2037 Å
α = 151.80°, β = 141.46°, γ = 48.44°
Closest atoms and distances in Å follow each position.
Sites, in units of the cell vectors:
In (0.0000, 0.0000, 0.0000)  6 Ni 2.60-2.74
Ni (0.3390, 0.8390, 0.5000)  2 In 2.74, 4 Sb 2.78, 4 Ni 2.78-3.02
Ni (0.5455, 0.5455, 0.0000)  4 In 2.60, 2 Sb 2.67, 2 Ni 2.78
Sb (0.7403, 0.2403, 0.5000)  6 Ni 2.67-2.78

Properties
Fermi-level density of states, states/eV per cell: 2.76
E_tot, eV per atom: -4.586

=====

InNi2Sb: optimized geometry, PBE.

a = 8.0598 Å, b = 8.0598 Å, c = 8.0598 Å
α = 22.74°, β = 22.74°, γ = 22.74°
Closest atoms and distances in Å follow each position.
Sites, in units of the cell vectors:
In (0.0000, 0.0000, 0.0000)  6 Ni 2.74
Ni (0.2470, 0.2470, 0.2470)  3 Sb 2.63, 3 In 2.74
Ni (0.7530, 0.7530, 0.7530)  3 Sb 2.63, 3 In 2.74
Sb (0.5000, 0.5000, 0.5000)  6 Ni 2.63

Properties
Fermi-level density of states, states/eV per cell: 1.85
E_tot, eV per atom: -4.505

=====

InNi2Sb: optimized geometry, PBE.

a = 6.0649 Å, b = 6.0649 Å, c = 6.0649 Å
α = 38.49°, β = 38.49°, γ = 38.49°
Closest atoms and distances in Å follow each position.
Sites, in units of the cell vectors:
In (0.0000, 0.0000, 0.0000)  6 Ni 2.78-2.98
Ni (0.4456, 0.4456, 0.4456)  3 Ni 2.33
Ni (0.7584, 0.7584, 0.7584)  3 Ni 2.33
Sb (0.1867, 0.1867, 0.1867)  6 Ni 2.63-2.81

Properties
Fermi-level density of states, states/eV per cell: 3.01
E_tot, eV per atom: -4.566

=====

So what do the calculations give for energy relative to the elements, uncorrected? Going down the list: 0.027; 0.483; 0.556; 1.041; 0.007; 0.101; -0.024; 0.006; 0.041; 0.147; -0.123; -0.072; 0.260; 0.064; 0.021; 0.002; 0.083; 0.020; 0.101; 0.040 eV per atom.